Entry from the Alexandria database: crystalline Cs2KSiSe4 at its relaxed geometry (PBE).

a b c (Å): 7.582 6.982 16.079
angles (deg): 82.65 76.36 57.12
Positions (direct):
Cs: 0.184 0.000 0.632
Cs: 0.816 0.000 0.368
Cs: 0.566 0.500 0.868
Cs: 0.934 0.500 0.132
K: 0.750 0.500 0.500
K: 0.000 0.000 0.000
Si: 0.250 0.500 0.500
Si: 0.500 0.000 0.000
Se: 0.399 0.779 0.092
Se: 0.270 0.221 0.908
Se: 0.821 0.779 0.908
Se: 0.509 0.221 0.092
Se: 0.351 0.721 0.408
Se: 0.480 0.279 0.592
Se: 0.929 0.721 0.592
Se: 0.241 0.279 0.408

Properties
formation energy without anion corrections = -79.8 kJ per mole of atoms
Fermi-level density of states = 8.89 states/eV per cell
raw total energy = -3.598 eV per atom